This record from the Alexandria database describes Pm8HSe4S3 after structural relaxation. The functional is PBE-GGA.

Summary:
Uncorrected energy in eV/atom: -5.9336
Magnetic moment in μB per formula unit: 0.000

Lattice parameters (Å, degrees): 8.2309 8.2309 8.2309 59.12 59.12 59.12
Sites, in units of the cell vectors:
Pm: 0.2428 0.2428 0.2428
Pm: 0.2440 0.7437 0.7437
Pm: 0.2563 0.2563 0.7560
Pm: 0.2563 0.7560 0.2563
Pm: 0.7437 0.2440 0.7437
Pm: 0.7437 0.7437 0.2440
Pm: 0.7560 0.2563 0.2563
Pm: 0.7572 0.7572 0.7572
H: 0.5000 0.5000 0.5000
Se: 0.0000 0.0000 0.0000
Se: 0.0000 0.5000 0.5000
Se: 0.5000 0.0000 0.5000
Se: 0.5000 0.5000 0.0000
S: 0.0000 0.0000 0.5000
S: 0.0000 0.5000 0.0000
S: 0.5000 0.0000 0.0000

This record from the Alexandria database describes Cs3BiBr after structural relaxation. The functional is PBE-GGA.

Summary:
Excess energy over the best structure of this formula in the dataset in meV/atom: 0
Magnetic moment in μB per formula unit: 0.000
ΔE_f (raw) in meV per atom: -889

Lattice parameters (Å, degrees): 6.4732 7.0508 14.1868 78.54 76.85 62.70
Sites, in units of the cell vectors:
Cs: 0.0000 0.0000 0.0000
Cs: 0.0436 0.6394 0.2737
Cs: 0.3247 0.2858 0.0652
Cs: 0.3683 0.9256 0.3380
Cs: 0.5813 0.3005 0.5404
Cs: 0.7878 0.6253 0.7976
Bi: 0.6373 0.6430 0.0827
Bi: 0.7311 0.2824 0.2558
Br: 0.4838 0.2331 0.8042
Br: 0.8880 0.6924 0.5342

This record from the Alexandria database describes BaVFeHg2 after structural relaxation. The functional is PBE-GGA.

Summary:
ΔE_f in kJ/mol of atoms: 29.9
Magnetic moment in μB per formula unit: 0.446

Lattice parameters (Å, degrees): 5.4355 5.4355 4.4764 90.00 90.00 90.00
Sites, in units of the cell vectors:
Ba: 0.0000 0.0000 0.0000
V: 0.5000 0.5000 0.5000
Fe: 0.5000 0.5000 0.0000
Hg: 0.0000 0.5000 0.5000
Hg: 0.5000 0.0000 0.5000

This record from the Alexandria database describes K3TcAs after structural relaxation. The functional is PBE-GGA.

Summary:
Excess energy over the best structure of this formula in the dataset in meV/atom: 0
ΔE_f in kJ/mol of atoms: 92.9
Magnetic moment in μB per formula unit: 5.000

Lattice parameters (Å, degrees): 6.3427 6.3427 6.3427 90.00 90.00 90.00
Sites, in units of the cell vectors:
K: 0.0000 0.0000 0.5000
K: 0.0000 0.5000 0.0000
K: 0.5000 0.0000 0.0000
Tc: 0.5000 0.5000 0.5000
As: 0.0000 0.0000 0.0000

This record from the Alexandria database describes LaPr4Tm6 after structural relaxation. The functional is PBE-GGA.

Summary:
ΔE_f in kJ/mol of atoms: 14.2
Magnetic moment in μB per formula unit: 0.000

Lattice parameters (Å, degrees): 11.0407 11.0407 3.5503 90.00 90.00 120.00
Sites, in units of the cell vectors:
La: 0.0000 0.0000 0.0000
Pr: 0.3333 0.6667 0.0000
Pr: 0.3966 0.1983 0.5000
Pr: 0.8017 0.1983 0.5000
Pr: 0.8017 0.6034 0.5000
Tm: 0.0089 0.5044 0.0000
Tm: 0.1724 0.3448 0.5000
Tm: 0.1724 0.8276 0.5000
Tm: 0.4956 0.5044 0.0000
Tm: 0.4956 0.9911 0.0000
Tm: 0.6552 0.8276 0.5000

This record from the Alexandria database describes Tm2TlIr after structural relaxation. The functional is PBE-GGA.

Summary:
Excess energy over the best structure of this formula in the dataset in meV/atom: 125
ΔE_f in kJ/mol of atoms: -50.5
Magnetic moment in μB per formula unit: 0.000

Lattice parameters (Å, degrees): 5.0303 5.0303 5.0303 60.00 60.00 60.00
Sites, in units of the cell vectors:
Tm: 0.2500 0.2500 0.2500
Tm: 0.7500 0.7500 0.7500
Tl: 0.0000 0.0000 0.0000
Ir: 0.5000 0.5000 0.5000

This record from the Alexandria database describes ReSb2MoSe after structural relaxation. The functional is PBE-GGA.

Summary:
Magnetic moment in μB per formula unit: 1.749
ΔE_f (raw) in meV per atom: 1207

Lattice parameters (Å, degrees): 5.1930 5.1930 4.8436 90.00 90.00 90.00
Sites, in units of the cell vectors:
Re: 0.0000 0.0000 0.0000
Sb: 0.0000 0.5000 0.5000
Sb: 0.5000 0.0000 0.5000
Mo: 0.0000 0.0000 0.5000
Se: 0.5000 0.5000 0.0000

This record from the Alexandria database describes Cs3Dy2Br9 after structural relaxation. The functional is PBE-GGA.

Summary:
Magnetic moment in μB per formula unit: 0.000
ΔE_f (raw) in meV per atom: -1895

Lattice parameters (Å, degrees): 10.4728 10.4728 10.4728 83.29 83.29 83.29
Sites, in units of the cell vectors:
Cs: 0.0877 0.7500 0.4123
Cs: 0.2500 0.5877 0.9123
Cs: 0.4123 0.0877 0.7500
Cs: 0.5877 0.9123 0.2500
Cs: 0.7500 0.4123 0.0877
Cs: 0.9123 0.2500 0.5877
Dy: 0.1526 0.1526 0.1526
Dy: 0.3474 0.3474 0.3474
Dy: 0.6526 0.6526 0.6526
Dy: 0.8474 0.8474 0.8474
Br: 0.0801 0.9157 0.7337
Br: 0.0843 0.2663 0.9199
Br: 0.0949 0.4051 0.2500
Br: 0.2337 0.4157 0.5801
Br: 0.2500 0.0949 0.4051
Br: 0.2663 0.9199 0.0843
Br: 0.4051 0.2500 0.0949
Br: 0.4157 0.5801 0.2337
Br: 0.4199 0.7663 0.5843
Br: 0.5801 0.2337 0.4157
Br: 0.5843 0.4199 0.7663
Br: 0.5949 0.7500 0.9051
Br: 0.7337 0.0801 0.9157
Br: 0.7500 0.9051 0.5949
Br: 0.7663 0.5843 0.4199
Br: 0.9051 0.5949 0.7500
Br: 0.9157 0.7337 0.0801
Br: 0.9199 0.0843 0.2663

This record from the Alexandria database describes Fe3SnB after structural relaxation. The functional is PBE-GGA.

Summary:
Excess energy over the best structure of this formula in the dataset in meV/atom: 0
ΔE_f in kJ/mol of atoms: 0.4
Magnetic moment in μB per formula unit: 3.316

Lattice parameters (Å, degrees): 3.9135 3.9135 3.9135 90.00 90.00 90.00
Sites, in units of the cell vectors:
Fe: 0.0000 0.0000 0.5000
Fe: 0.0000 0.5000 0.0000
Fe: 0.5000 0.0000 0.0000
Sn: 0.5000 0.5000 0.5000
B: 0.0000 0.0000 0.0000

This record from the Alexandria database describes AcPaSi2O8 after structural relaxation. The functional is PBE-GGA.

Summary:
Magnetic moment in μB per formula unit: 0.000
ΔE_f (raw) in meV per atom: -3162

Lattice parameters (Å, degrees): 6.0234 6.0234 6.0234 105.97 105.97 116.72
Sites, in units of the cell vectors:
Ac: 0.0000 0.0000 0.0000
Pa: 0.7500 0.2500 0.5000
Si: 0.2500 0.7500 0.5000
Si: 0.5000 0.5000 0.0000
O: 0.0719 0.4062 0.3343
O: 0.0719 0.7376 0.6657
O: 0.1589 0.3459 0.8130
O: 0.2624 0.9281 0.3343
O: 0.5329 0.3459 0.1870
O: 0.5938 0.9281 0.6657
O: 0.6541 0.4671 0.8130
O: 0.6541 0.8411 0.1870

This record from the Alexandria database describes Sr2Ga2Os after structural relaxation. The functional is PBE-GGA.

Summary:
Excess energy over the best structure of this formula in the dataset in meV/atom: 935
ΔE_f in kJ/mol of atoms: 95.6
Magnetic moment in μB per formula unit: 0.000

Lattice parameters (Å, degrees): 7.2421 7.2421 7.2421 145.53 145.53 49.55
Sites, in units of the cell vectors:
Sr: 0.2500 0.7500 0.5000
Sr: 0.7500 0.2500 0.5000
Ga: 0.0873 0.0873 0.0000
Ga: 0.9127 0.9127 0.0000
Os: 0.5000 0.5000 0.0000

This record from the Alexandria database describes CeNdO2 after structural relaxation. The functional is PBE-GGA.

Summary:
Excess energy over the best structure of this formula in the dataset in meV/atom: 0
Magnetic moment in μB per formula unit: 0.137
ΔE_f (raw) in meV per atom: -2797

Lattice parameters (Å, degrees): 6.1432 6.1432 6.1432 33.55 33.55 33.55
Sites, in units of the cell vectors:
Ce: 0.0000 0.0000 0.0000
Nd: 0.5000 0.5000 0.5000
O: 0.2518 0.2518 0.2518
O: 0.7482 0.7482 0.7482

This record from the Alexandria database describes K3TcBr2Cl6 after structural relaxation. The functional is PBE-GGA.

Summary:
Magnetic moment in μB per formula unit: 1.850
ΔE_f (raw) in meV per atom: -1170

Lattice parameters (Å, degrees): 9.1729 9.1729 5.7637 90.74 90.74 56.37
Sites, in units of the cell vectors:
K: 0.0000 0.0000 0.0000
K: 0.0000 0.5000 0.5000
K: 0.5000 0.0000 0.5000
Tc: 0.5000 0.5000 0.5000
Br: 0.1946 0.1946 0.1043
Br: 0.8054 0.8054 0.8957
Cl: 0.2431 0.6280 0.2735
Cl: 0.3720 0.7569 0.7265
Cl: 0.3856 0.3856 0.7437
Cl: 0.6144 0.6144 0.2563
Cl: 0.6280 0.2431 0.2735
Cl: 0.7569 0.3720 0.7265

This record from the Alexandria database describes PmTaTiIr2 after structural relaxation. The functional is PBE-GGA.

Summary:
ΔE_f in kJ/mol of atoms: -69.8
Magnetic moment in μB per formula unit: 0.000

Lattice parameters (Å, degrees): 6.1523 6.1523 6.1523 138.29 138.29 60.47
Sites, in units of the cell vectors:
Pm: 0.0000 0.0000 0.0000
Ta: 0.7500 0.2500 0.5000
Ti: 0.2500 0.7500 0.5000
Ir: 0.3767 0.3767 0.0000
Ir: 0.6233 0.6233 0.0000

This record from the Alexandria database describes CaSi2Ag8O8 after structural relaxation. The functional is PBE-GGA.

Summary:
Excess energy over the best structure of this formula in the dataset in meV/atom: 0
Magnetic moment in μB per formula unit: 0.000
ΔE_f (raw) in meV per atom: -1093

Lattice parameters (Å, degrees): 7.1345 5.9925 7.4257 90.00 98.85 90.00
Sites, in units of the cell vectors:
Ca: 0.0000 0.0000 0.0000
Si: 0.0000 0.9951 0.5000
Si: 0.5000 0.2913 0.0000
Ag: 0.1495 0.5018 0.6694
Ag: 0.3255 0.7339 0.4040
Ag: 0.3499 0.2630 0.3508
Ag: 0.3956 0.8772 0.7839
Ag: 0.6044 0.8772 0.2161
Ag: 0.6501 0.2630 0.6492
Ag: 0.6745 0.7339 0.5960
Ag: 0.8505 0.5018 0.3306
O: 0.0157 0.8458 0.3095
O: 0.1892 0.1531 0.5567
O: 0.3062 0.1299 0.0014
O: 0.4778 0.4517 0.8166
O: 0.5222 0.4517 0.1834
O: 0.6938 0.1299 0.9986
O: 0.8108 0.1531 0.4433
O: 0.9843 0.8458 0.6905

This record from the Alexandria database describes Ba2LiTlPb6 after structural relaxation. The functional is PBE-GGA.

Summary:
ΔE_f in kJ/mol of atoms: -22.5
Magnetic moment in μB per formula unit: 0.000

Lattice parameters (Å, degrees): 14.5909 14.5909 14.5909 30.21 30.21 30.21
Sites, in units of the cell vectors:
Ba: 0.1102 0.1102 0.1102
Ba: 0.2804 0.2804 0.2804
Ba: 0.7196 0.7196 0.7196
Ba: 0.8898 0.8898 0.8898
Li: 0.0000 0.0000 0.0000
Li: 0.5000 0.5000 0.5000
Tl: 0.4256 0.4256 0.4256
Tl: 0.5744 0.5744 0.5744
Pb: 0.0810 0.6664 0.6664
Pb: 0.2179 0.2179 0.6529
Pb: 0.2179 0.6529 0.2179
Pb: 0.3336 0.3336 0.9190
Pb: 0.3336 0.9190 0.3336
Pb: 0.3471 0.7821 0.7821
Pb: 0.6529 0.2179 0.2179
Pb: 0.6664 0.0810 0.6664
Pb: 0.6664 0.6664 0.0810
Pb: 0.7821 0.3471 0.7821
Pb: 0.7821 0.7821 0.3471
Pb: 0.9190 0.3336 0.3336

This record from the Alexandria database describes Rb2Mg2TeO6 after structural relaxation. The functional is PBE-GGA.

Summary:
Magnetic moment in μB per formula unit: 0.000
ΔE_f (raw) in meV per atom: -1862

Lattice parameters (Å, degrees): 5.4236 5.4236 6.8993 98.82 98.82 119.40
Sites, in units of the cell vectors:
Rb: 0.1714 0.8286 0.0000
Rb: 0.8286 0.1714 0.0000
Mg: 0.3352 0.6648 0.5000
Mg: 0.6648 0.3352 0.5000
Te: 0.0000 0.0000 0.5000
O: 0.0576 0.3674 0.6616
O: 0.2462 0.2462 0.3417
O: 0.3674 0.0576 0.6616
O: 0.6327 0.9424 0.3384
O: 0.7538 0.7538 0.6583
O: 0.9424 0.6327 0.3384

This record from the Alexandria database describes KAcP2Pd5 after structural relaxation. The functional is PBE-GGA.

Summary:
ΔE_f in kJ/mol of atoms: -60.3
Magnetic moment in μB per formula unit: 0.000

Lattice parameters (Å, degrees): 4.3371 4.3371 10.2493 90.00 90.00 90.00
Sites, in units of the cell vectors:
K: 0.0000 0.0000 0.0000
Ac: 0.0000 0.0000 0.5000
P: 0.5000 0.5000 0.1922
P: 0.5000 0.5000 0.8078
Pd: 0.0000 0.5000 0.2861
Pd: 0.0000 0.5000 0.7139
Pd: 0.5000 0.0000 0.2861
Pd: 0.5000 0.0000 0.7139
Pd: 0.5000 0.5000 0.5000

This record from the Alexandria database describes Na6Se2O after structural relaxation. The functional is PBE-GGA.

Summary:
Excess energy over the best structure of this formula in the dataset in meV/atom: 42
Magnetic moment in μB per formula unit: 0.000
ΔE_f (raw) in meV per atom: -1026

Lattice parameters (Å, degrees): 6.0706 6.0706 12.7063 90.00 90.00 90.00
Sites, in units of the cell vectors:
Na: 0.1743 0.1743 0.1434
Na: 0.1743 0.1743 0.8566
Na: 0.2273 0.2273 0.5000
Na: 0.2727 0.7273 0.0000
Na: 0.3257 0.6743 0.3566
Na: 0.3257 0.6743 0.6434
Na: 0.6743 0.3257 0.3566
Na: 0.6743 0.3257 0.6434
Na: 0.7273 0.2727 0.0000
Na: 0.7727 0.7727 0.5000
Na: 0.8257 0.8257 0.1434
Na: 0.8257 0.8257 0.8566
Se: 0.0000 0.0000 0.3356
Se: 0.0000 0.0000 0.6644
Se: 0.5000 0.5000 0.1644
Se: 0.5000 0.5000 0.8356
O: 0.0000 0.0000 0.0000
O: 0.5000 0.5000 0.5000

This record from the Alexandria database describes Ac2ScAgO5 after structural relaxation. The functional is PBE-GGA.

Summary:
Magnetic moment in μB per formula unit: 0.000
ΔE_f (raw) in meV per atom: -2660

Lattice parameters (Å, degrees): 7.4551 7.4551 10.7992 90.00 90.00 152.60
Sites, in units of the cell vectors:
Ac: 0.1080 0.8920 0.5000
Ac: 0.1337 0.8663 0.1172
Ac: 0.8663 0.1337 0.6172
Ac: 0.8920 0.1080 0.0000
Sc: 0.2050 0.7950 0.8265
Sc: 0.7950 0.2050 0.3265
Ag: 0.4697 0.5303 0.2867
Ag: 0.5303 0.4697 0.7867
O: 0.0758 0.9242 0.9005
O: 0.2781 0.7219 0.4793
O: 0.2975 0.7025 0.2034
O: 0.3512 0.6488 0.8288
O: 0.4981 0.5019 0.5866
O: 0.5019 0.4981 0.0866
O: 0.6488 0.3512 0.3288
O: 0.7025 0.2975 0.7034
O: 0.7219 0.2781 0.9793
O: 0.9242 0.0758 0.4005